(1)
An optimized crystal structure of Hf2ZrN, computed with PBE.

Summary:
energy: -8.729 eV/atom

abc: 5.3439 5.3439 10.1564
angles: 90.00 90.00 120.00
With the nearest neighbours (Å) after each atom.
Space group R-3m (No. 166, hexagonal axes)
One atom of each set of equivalent atoms:
Hf  0.0000  0.0000  0.1954 x6  1 N 1.98
Zr  0.0000  0.0000  0.5000 x3  8 Hf 3.09-3.10
N  0.0000  0.0000  0.0000 x3  2 Hf 1.98

=====

(2)
An optimized crystal structure of HfZr4N5, computed with PBE.

Summary:
energy: -10.279 eV/atom

abc: 7.2680 7.2680 4.6123
angles: 90.00 90.00 90.00
With the nearest neighbours (Å) after each atom.
Space group I4/m (No. 87)
One atom of each set of equivalent atoms:
Hf  0.0000  0.0000  0.0000 x2  6 N 2.25-2.31
Zr  0.0983  0.6993  0.5000 x8  6 N 2.30-2.34
N  0.0000  0.0000  0.5000 x2  4 Zr 2.30, 2 Hf 2.31
N  0.0984  0.7070  0.0000 x8  1 Hf 2.25, 5 Zr 2.30-2.34

=====

(3)
An optimized crystal structure of HfZr2N, computed with PBE.

Summary:
energy: -9.084 eV/atom

abc: 3.0118 3.0118 7.6232
angles: 90.00 90.00 90.00
With the nearest neighbours (Å) after each atom.
Space group P4/mmm (No. 123)
One atom of each set of equivalent atoms:
Hf  0.0000  0.0000  0.0000 x1  4 Hf 3.01, 8 Zr 3.24
Zr  0.5000  0.5000  0.3196 x2  4 N 2.54, 1 Zr 2.75
N  0.0000  0.0000  0.5000 x1  8 Zr 2.54

=====

(4)
An optimized crystal structure of Hf4ZrN7, computed with PBE.

Summary:
energy: -10.340 eV/atom

abc: 10.4095 3.1218 9.2256
angles: 90.00 106.19 90.00
With the nearest neighbours (Å) after each atom.
Space group Cm (No. 8)
One atom of each set of equivalent atoms:
Hf  0.0000  0.0000  0.0000 x2  6 N 2.11-2.29
Hf  0.0821  0.5000  0.3932 x2  4 N 2.13-2.33
Hf  0.1980  0.0000  0.7835 x2  4 N 2.14-2.33
Hf  0.3898  0.5000  0.5886 x2  6 N 2.14-2.21
Zr  0.2794  0.5000  0.1745 x2  6 N 2.14-2.32
N  0.0465  0.5000  0.6441 x2  5 Hf 2.21-2.44
N  0.1217  0.5000  0.9400 x2  4 Hf 2.18-2.41, 1 Zr 2.32
N  0.1530  0.0000  0.2327 x2  2 Zr 2.20, 3 Hf 2.29-2.40
N  0.2335  0.0000  0.5317 x2  5 Hf 2.21-2.45
N  0.3413  0.5000  0.7988 x2  4 Hf 2.11-2.14
N  0.3902  0.0000  0.0847 x2  2 Hf 2.20, 2 Zr 2.23
N  0.4391  0.5000  0.3784 x2  3 Hf 2.13-2.14, 1 Zr 2.14